# 1
A plane-wave DFT calculation with PBE was carried out for a relaxed structure of Sm6Ni2CCl3.

Values from the calculation:
- formation energy from raw total energies (eV per atom) = -0.9447

POSCAR file:
```
Sm6Ni2CCl3
1.0
3.799 0.000 0.000
0.000 8.298 -0.926
-1.899 -3.608 9.362
C Cl Sm Ni
1 3 6 2
Cartesian
1.899 0.000 0.000 C
1.899 4.149 -0.463 Cl
0.000 6.293 2.025 Cl
1.899 -1.603 6.411 Cl
0.000 0.800 5.917 Sm
1.899 2.973 8.470 Sm
0.000 4.407 5.895 Sm
1.899 0.283 2.541 Sm
0.000 1.717 -0.034 Sm
1.899 3.891 2.519 Sm
0.000 2.215 3.391 Ni
1.899 2.475 5.045 Ni
```

***

# 2
A plane-wave DFT calculation with PBE was carried out for a relaxed structure of Al3SiGe.

Values from the calculation:
- polymorph energy (0 for the lowest one) (eV per atom) = 0.000
- formation energy from raw total energies (eV per atom) = 0.6137

POSCAR file:
```
Al3SiGe
1.0
4.752 0.000 0.000
0.000 4.752 0.000
0.000 0.000 4.752
Si Ge Al
1 1 3
Cartesian
0.000 0.000 0.000 Si
2.376 2.376 2.376 Ge
0.000 0.000 2.376 Al
0.000 2.376 0.000 Al
2.376 0.000 0.000 Al
```

***

# 3
A plane-wave DFT calculation with PBE was carried out for a relaxed structure of RbV2Ag.

Values from the calculation:
- polymorph energy (0 for the lowest one) (eV per atom) = 0.114
- formation enthalpy at 0 K (eV per atom) = 1.501

POSCAR file:
```
RbV2Ag
1.0
0.000 3.628 3.628
3.628 0.000 3.628
3.628 3.628 0.000
V Ag Rb
2 1 1
Cartesian
5.442 5.442 5.442 V
1.814 1.814 1.814 V
3.628 3.628 3.628 Ag
0.000 0.000 0.000 Rb
```

***

M_tot / μB per formula unit: 0.00, 0.00, 7.77